Entry 1:
{"formula": "Tm4OsPd", "functional": "PBE", "state": "optimized geometry", "cell": [[4.762, 0.000, 0.000], [0.000, 4.762, 0.000], [0.000, 0.000, 6.782]], "species": ["Tm", "Tm", "Tm", "Tm", "Os", "Pd"], "frac_coords": [[0.000, 0.500, 0.241], [0.000, 0.500, 0.759], [0.500, 0.000, 0.241], [0.500, 0.000, 0.759], [0.000, 0.000, 0.000], [0.500, 0.500, 0.500]], "spacegroup": "P4/mmm (123)", "vol_a3_per_fu": 153.8, "e_tot_ev_per_atom": -6.158}

Entry 2:
{"formula": "Na8B13C3", "functional": "PBE", "state": "optimized geometry", "cell": [[2.809, 0.000, 0.000], [0.000, 8.675, 0.000], [0.000, 0.000, 10.625]], "species": ["Na", "Na", "Na", "Na", "Na", "Na", "Na", "Na", "B", "B", "B", "B", "B", "B", "B", "B", "B", "B", "B", "B", "B", "C", "C", "C"], "frac_coords": [[0.000, 0.247, 0.000], [0.000, 0.251, 0.499], [0.000, 0.749, 0.499], [0.000, 0.753, 0.000], [0.500, 0.251, 0.247], [0.500, 0.252, 0.749], [0.500, 0.748, 0.749], [0.500, 0.749, 0.247], [0.000, 0.000, 0.316], [0.000, 0.000, 0.816], [0.000, 0.500, 0.155], [0.000, 0.500, 0.318], [0.000, 0.500, 0.674], [0.000, 0.500, 0.834], [0.500, 0.000, 0.089], [0.500, 0.000, 0.423], [0.500, 0.000, 0.590], [0.500, 0.000, 0.924], [0.500, 0.500, 0.417], [0.500, 0.500, 0.578], [0.500, 0.500, 0.934], [0.000, 0.000, 0.168], [0.000, 0.000, 0.668], [0.500, 0.500, 0.081]], "spacegroup": "Pmm2 (25)", "vol_a3_per_fu": 258.9, "e_tot_ev_per_atom": -5.026}